# 1
This record from Alexandria describes PS2F after structural relaxation. The functional is GGA-PBE.

Unit cell a=7.3457 b=7.3457 c=7.3457 alpha=25.22 beta=25.22 gamma=25.22
Fractional coordinates of all 4 atoms:
S 0.0997 0.0997 0.0997
F 0.0000 0.0000 0.0000
S 0.9003 0.9003 0.9003
P 0.5000 0.5000 0.5000

Summary:
magnetic moment	0.000	μB/f.u.
Fermi-level density of states	0.315	states/eV per atom
energy relative to the elements, uncorrected	-40	kJ/mol of formula units
E_tot	-15.95	eV/f.u.

# 2
This record from Alexandria describes PS6F2 after structural relaxation. The functional is GGA-PBE.

Unit cell a=4.9798 b=30.7978 c=5.1730 alpha=41.13 beta=90.00 gamma=90.00
Last column: magnetic moment on the atom in μB.
Fractional coordinates of all 18 atoms:
S 0.4781 0.4061 0.5273  0.23
S 0.0850 0.6926 0.4749  0.00
S 0.1696 0.2588 0.4916  0.01
S 0.9781 0.0939 0.9727  0.23
F 0.2329 0.0195 0.6354  0.06
S 0.0219 0.9061 0.0273  0.23
F 0.2671 0.5195 0.1354  0.06
S 0.6696 0.2412 0.0084  0.01
S 0.5219 0.5939 0.4727  0.23
S 0.8304 0.7412 0.5084  0.01
S 0.3304 0.7588 0.9916  0.01
S 0.9150 0.3074 0.5251  0.00
P 0.0000 0.0000 0.5000  -0.02
P 0.5000 0.5000 0.0000  -0.02
F 0.7329 0.4805 0.8646  0.06
S 0.5850 0.8074 0.0251  0.00
S 0.4150 0.1926 0.9749  0.00
F 0.7671 0.9805 0.3646  0.06

Summary:
magnetic moment	0.891	μB/f.u.
Fermi-level density of states	0.261	states/eV per atom
energy relative to the elements, uncorrected	-317	kJ/mol of formula units
E_tot	-37.20	eV/f.u.

# 3
This record from Alexandria describes SbPS2F after structural relaxation. The functional is GGA-PBE.

Unit cell a=4.9454 b=4.9454 c=5.3156 alpha=90.00 beta=90.00 gamma=90.00
Last column: magnetic moment on the atom in μB.
Fractional coordinates of all 5 atoms:
Sb 0.0000 0.0000 0.0000  0.01
F 0.5000 0.5000 0.5000  -0.18
S 0.0000 0.5000 0.0000  -0.07
S 0.5000 0.0000 0.0000  -0.07
P 0.0000 0.0000 0.5000  0.58

Summary:
magnetic moment	0.869	μB/f.u.
Fermi-level density of states	1.378	states/eV per atom
energy relative to the elements, uncorrected	363	kJ/mol of formula units
E_tot	-15.89	eV/f.u.